[1]
Compound: La3Pr4Dy5
Source: the Alexandria database
Functional: PBE
Structure: optimized geometry

Geometry as POSCAR:
```
La3Pr4Dy5
1.0
8.165 -3.037 0.000
8.165 3.037 0.000
-4.223 0.000 8.513
La Pr Dy
3 4 5
direct
0.000 0.000 0.000 La
0.291 0.291 0.770 La
0.709 0.709 0.230 La
0.293 0.293 0.121 Pr
0.416 0.416 0.556 Pr
0.584 0.584 0.444 Pr
0.707 0.707 0.879 Pr
0.071 0.071 0.697 Dy
0.172 0.172 0.388 Dy
0.500 0.500 0.000 Dy
0.828 0.828 0.612 Dy
0.929 0.929 0.303 Dy
```

Summary:
Spin magnetization: 0.00 μB per formula unit
Space group: C2/m, No. 12
Calculated formation energy: 20.88 kJ/mol of atoms
Uncorrected energy: -4.5262 eV per atom
Crystal system: monoclinic
Energy relative to the lowest polymorph listed for this composition: 0.197 eV/atom

[2]
Compound: LaPr6Dy2
Source: the Alexandria database
Functional: PBE
Structure: optimized geometry

Geometry as POSCAR:
```
LaPr6Dy2
1.0
3.690 0.000 0.000
0.012 9.022 0.000
1.841 0.100 9.571
La Pr Dy
1 6 2
direct
0.000 0.000 0.000 La
0.108 0.663 0.782 Pr
0.221 0.335 0.559 Pr
0.334 0.001 0.333 Pr
0.666 0.999 0.667 Pr
0.779 0.665 0.441 Pr
0.892 0.337 0.218 Pr
0.445 0.666 0.110 Dy
0.555 0.334 0.890 Dy
```

Summary:
Spin magnetization: 0.00 μB per formula unit
Space group: P-1, No. 2
Calculated formation energy: 1.75 kJ/mol of atoms
Uncorrected energy: -4.7384 eV per atom
Crystal system: triclinic
Energy relative to the lowest polymorph listed for this composition: 0.000 eV/atom